[1]
LaOsRu2, optimized geometry, DFT PBE-GGA; DFT total energy = -8.179 eV per atom; space group = I4/mmm, No. 139
1.0
4.824 -0.010 0.000
0.946 4.730 0.000
-2.885 -2.360 3.062
La Os Ru
1 1 2
Direct
0.250 0.750 0.500
0.750 0.250 0.500
0.000 0.000 0.000
0.500 0.500 0.000

[2]
La2OsRu, optimized geometry, DFT PBE-GGA; DFT total energy = -7.329 eV per atom; space group = P4mm, No. 99
1.0
-1.092 2.928 0.232
-2.702 -0.905 -1.303
-3.485 -1.980 8.602
La Os Ru
2 1 1
Direct
0.000 0.000 0.938
0.500 0.500 0.315
0.000 0.000 0.552
0.500 0.500 0.695

[3]
LaOsRu, optimized geometry, DFT PBE-GGA; DFT total energy = -8.585 eV per atom; space group = Ima2, No. 46
1.0
5.734 0.000 0.000
0.000 7.861 0.000
0.000 0.000 5.161
La Os Ru
4 4 4
Direct
0.250 0.876 0.041
0.750 0.124 0.041
0.750 0.376 0.541
0.250 0.624 0.541
0.250 0.239 0.315
0.750 0.761 0.315
0.750 0.739 0.815
0.250 0.261 0.815
0.000 0.000 0.545
0.500 0.000 0.545
0.500 0.500 0.045
0.000 0.500 0.045

[4]
LaOsRu2, optimized geometry, DFT PBE-GGA; DFT total energy = -8.188 eV per atom; space group = P4/mmm, No. 123
1.0
4.828 0.000 0.000
0.000 4.828 0.000
0.000 0.000 3.000
La Os Ru
1 1 2
Direct
0.500 0.000 0.500
0.000 0.500 0.500
0.000 0.000 0.000
0.500 0.500 0.000

[5]
La8OsRu2, optimized geometry, DFT PBE-GGA; DFT total energy = -6.457 eV per atom; space group = C2/m, No. 12
1.0
6.707 0.218 1.295
1.047 7.205 2.841
0.313 0.265 7.805
La Os Ru
8 1 2
Direct
0.252 0.635 0.080
0.748 0.920 0.365
0.260 0.130 0.130
0.740 0.870 0.870
0.252 0.080 0.635
0.748 0.365 0.920
0.758 0.405 0.405
0.242 0.595 0.595
0.000 0.000 0.000
0.484 0.302 0.302
0.516 0.698 0.698

[6]
LaOsRu, optimized geometry, DFT PBE-GGA; DFT total energy = -8.282 eV per atom; space group = Imm2, No. 44
1.0
-3.545 -4.221 2.000
1.109 -4.708 3.314
0.150 5.789 -0.921
La Os Ru
1 1 1
Direct
0.998 0.998 0.000
0.291 0.291 0.000
0.711 0.711 0.000

[7]
LaScOsRu2, optimized geometry, DFT PBE-GGA; DFT total energy = -7.371 eV per atom; space group = P4/mmm, No. 123
1.0
-2.339 -2.575 -3.297
3.135 -4.066 0.951
-3.037 -1.553 3.367
Sc Ru Os La
1 2 1 1
Direct
0.500 0.500 0.500
0.000 0.000 0.500
0.500 0.000 0.000
0.000 0.000 0.000
0.000 0.500 0.000

[8]
LaTaOs2Ru, optimized geometry, DFT PBE-GGA; DFT total energy = -9.763 eV per atom; space group = I-4m2, No. 119
1.0
4.286 0.000 0.000
0.000 4.286 0.000
-2.143 -2.143 5.468
La Ta Os Ru
1 1 2 1
Direct
0.000 0.000 0.000
0.750 0.250 0.500
0.616 0.616 0.232
0.384 0.384 0.768
0.250 0.750 0.500

[9]
LaOsS3, optimized geometry, DFT PBE-GGA; energy relative to the elements, uncorrected = 98 kJ per mole of atoms; space group = Pm-3m, No. 221
1.0
-4.307 -2.886 -1.709
0.935 -3.704 3.899
-3.221 2.783 3.417
S Os La
3 1 1
Direct
0.000 0.500 0.000
0.000 0.000 0.500
0.500 0.000 0.000
0.500 0.500 0.500
0.000 0.000 0.000

[10]
LaOsS, optimized geometry, DFT PBE-GGA; energy relative to the elements, uncorrected = -38 kJ per mole of atoms; space group = Amm2, No. 38
1.0
5.779 0.000 0.000
-2.889 2.914 0.000
0.000 0.000 8.555
Os S La
2 2 2
Direct
0.544 0.088 0.000
0.544 0.087 0.500
0.646 0.292 0.250
0.646 0.292 0.750
0.144 0.287 0.250
0.144 0.287 0.750

[11]
LaOsS3, optimized geometry, DFT PBE-GGA; energy relative to the elements, uncorrected = -65 kJ per mole of atoms; space group = Pm-3m, No. 221
1.0
4.688 0.000 0.000
0.000 4.688 0.000
0.000 0.000 4.688
S Os La
3 1 1
Direct
0.000 0.500 0.000
0.000 0.000 0.500
0.500 0.000 0.000
0.000 0.000 0.000
0.500 0.500 0.500

[12]
La2OsS, optimized geometry, DFT PBE-GGA; energy relative to the elements, uncorrected = -57 kJ per mole of atoms; space group = I-42d, No. 122
1.0
-0.413 3.058 -5.687
3.217 -4.844 -2.838
-4.147 -3.874 -5.463
S Os La
2 2 4
Direct
0.500 0.500 0.000
0.250 0.750 0.500
0.000 0.000 0.000
0.750 0.250 0.500
0.653 0.125 0.250
0.097 0.625 0.250
0.375 0.347 0.750
0.875 0.903 0.750

Number 1: magnetization 0.000 μB per formula unit. Number 2: magnetization 0.000 μB per formula unit. Number 3: magnetization 0.000 μB per formula unit. Number 4: magnetization 0.835 μB per formula unit. Number 5: magnetization 0.000 μB per formula unit. Number 6: magnetization 0.000 μB per formula unit. Number 7: magnetization 0.219 μB per formula unit. Number 8: magnetization 0.000 μB per formula unit. Number 9: magnetization 6.648 μB per formula unit. Number 10: magnetization 0.328 μB per formula unit. Number 11: magnetization 1.511 μB per formula unit. Number 12: magnetization 0.000 μB per formula unit.